No. 1
NdTcCl: optimized geometry, PBE.

Properties
As for the symmetry: No. 166. The value obtained for the formation energy without anion corrections is -1.045 eV per atom.

extended XYZ file:
```
6
Lattice="2.0549 1.1864 11.3725 -2.0549 1.1864 11.3725 0.0000 -2.3728 11.3725" Properties=species:S:1:pos:R:3 pbc="T T T"
Nd 0.0000 0.0000 2.2684
Nd 0.0000 0.0000 31.8492
Tc 0.0000 0.0000 11.5749
Tc 0.0000 0.0000 22.5427
Cl 0.0000 0.0000 7.3933
Cl 0.0000 0.0000 26.7243
```

No. 2
Nd2TcCl: optimized geometry, PBE.

Properties
As for the symmetry: No. 166. The value obtained for the formation energy without anion corrections is 0.011 eV per atom.

extended XYZ file:
```
12
Lattice="3.3249 0.0000 0.0000 -1.6625 2.8795 0.0000 0.0000 0.0000 30.3914" Properties=species:S:1:pos:R:3 pbc="T T T"
Nd 0.0000 0.0000 2.7072
Nd 0.0000 0.0000 27.6841
Nd 0.0000 1.9196 17.5537
Nd 0.0000 1.9196 22.9682
Nd 1.6625 0.9598 7.4232
Nd 1.6625 0.9598 12.8377
Tc 0.0000 0.0000 0.0000
Tc 0.0000 1.9196 20.2609
Tc 1.6625 0.9598 10.1304
Cl 0.0000 0.0000 15.1957
Cl 0.0000 1.9196 5.0652
Cl 1.6625 0.9598 25.3261
```

No. 3
NdTcCl: optimized geometry, PBE.

Properties
As for the symmetry: No. 12. The value obtained for the formation energy without anion corrections is -1.044 eV per atom.

extended XYZ file:
```
12
Lattice="7.1165 0.0000 0.0000 0.0000 4.1087 0.0000 -0.3829 0.0000 11.5874" Properties=species:S:1:pos:R:3 pbc="T T T"
Nd -0.0001 0.0000 2.2685
Nd 3.1754 2.0543 9.3190
Nd 3.5582 2.0543 2.2685
Nd 6.7337 0.0000 9.3190
Tc 0.8033 2.0543 11.3849
Tc 2.3721 0.0000 0.2025
Tc 4.3615 0.0000 11.3849
Tc 5.9304 2.0543 0.2025
Cl 1.1869 2.0543 3.9816
Cl 1.9885 0.0000 7.6059
Cl 4.7452 0.0000 3.9816
Cl 5.5467 2.0543 7.6059
```

No. 4
Nd2TcCl: optimized geometry, PBE.

Properties
As for the symmetry: No. 123. The value obtained for the formation energy without anion corrections is -0.659 eV per atom.

extended XYZ file:
```
4
Lattice="3.4919 0.0000 0.0000 0.0000 3.4919 0.0000 0.0000 0.0000 8.0142" Properties=species:S:1:pos:R:3 pbc="T T T"
Nd 0.0000 0.0000 1.7200
Nd 0.0000 0.0000 6.2942
Tc 1.7460 1.7460 0.0000
Cl 1.7460 1.7460 4.0071
```

No. 5
Nd5TcCl5: optimized geometry, PBE.

Properties
As for the symmetry: No. 12. The value obtained for the formation energy without anion corrections is -1.300 eV per atom.

extended XYZ file:
```
11
Lattice="6.2992 -2.9002 0.0000 6.2992 2.9002 0.0000 -2.7871 0.0000 8.2230" Properties=species:S:1:pos:R:3 pbc="T T T"
Nd 0.0000 0.0000 0.0000
Nd 3.7399 0.0000 1.1506
Nd 2.4493 0.0000 5.7564
Nd 7.3619 0.0000 2.4666
Nd 6.0714 0.0000 7.0724
Tc 6.2992 0.0000 0.0000
Cl -0.3703 0.0000 6.4263
Cl 1.1000 0.0000 2.9618
Cl 4.9056 0.0000 4.1115
Cl 8.7113 0.0000 5.2612
Cl 10.1816 0.0000 1.7967
```

No. 6
NdTeCl: optimized geometry, PBE.

Properties
As for the symmetry: No. 129. The value obtained for the formation energy without anion corrections is -1.822 eV per atom.

extended XYZ file:
```
6
Lattice="4.4787 0.0000 0.0000 0.0000 4.4787 0.0000 0.0000 0.0000 8.2616" Properties=species:S:1:pos:R:3 pbc="T T T"
Nd 1.1197 1.1197 1.9735
Nd 3.3590 3.3590 6.2882
Te 1.1197 1.1197 5.2362
Te 3.3590 3.3590 3.0254
Cl 1.1197 3.3590 0.0000
Cl 3.3590 1.1197 0.0000
```

No. 7
Nd2TeCl2: optimized geometry, PBE.

Properties
As for the symmetry: No. 12. The value obtained for the formation energy without anion corrections is -1.732 eV per atom.

extended XYZ file:
```
10
Lattice="7.4225 0.0000 0.0000 0.0000 4.2799 0.0000 -0.1184 0.0000 10.2643" Properties=species:S:1:pos:R:3 pbc="T T T"
Nd 1.2392 0.0000 1.8440
Nd 2.3537 2.1400 8.4203
Nd 4.9504 2.1400 1.8440
Nd 6.0649 0.0000 8.4203
Te 0.0000 2.1400 0.0000
Te 3.7112 0.0000 0.0000
Cl 1.1157 0.0000 6.8333
Cl 2.4772 2.1400 3.4310
Cl 4.8269 2.1400 6.8333
Cl 6.1884 0.0000 3.4310
```

No. 8
NdTeCl: optimized geometry, PBE.

Properties
As for the symmetry: No. 216. The value obtained for the formation energy without anion corrections is -1.677 eV per atom.

extended XYZ file:
```
12
Lattice="7.3132 0.0000 0.0000 0.0000 7.3132 0.0000 0.0000 0.0000 7.3132" Properties=species:S:1:pos:R:3 pbc="T T T"
Nd 0.0000 0.0000 0.0000
Nd 0.0000 3.6566 3.6566
Nd 3.6566 0.0000 3.6566
Nd 3.6566 3.6566 0.0000
Te 1.8283 1.8283 5.4849
Te 1.8283 5.4849 1.8283
Te 5.4849 1.8283 1.8283
Te 5.4849 5.4849 5.4849
Cl 1.8283 1.8283 1.8283
Cl 1.8283 5.4849 5.4849
Cl 5.4849 1.8283 5.4849
Cl 5.4849 5.4849 1.8283
```

No. 9
Nd2TeCl: optimized geometry, PBE.

Properties
As for the symmetry: No. 166. The value obtained for the formation energy without anion corrections is -1.341 eV per atom.

extended XYZ file:
```
12
Lattice="4.3532 0.0000 0.0000 -2.1766 3.7700 0.0000 0.0000 0.0000 20.5291" Properties=species:S:1:pos:R:3 pbc="T T T"
Nd 0.0000 0.0000 4.8766
Nd 0.0000 0.0000 15.6526
Nd 0.0000 2.5133 8.8095
Nd 0.0000 2.5133 18.5626
Nd 2.1766 1.2567 1.9665
Nd 2.1766 1.2567 11.7196
Te 0.0000 0.0000 0.0000
Te 0.0000 2.5133 13.6861
Te 2.1766 1.2567 6.8430
Cl 0.0000 0.0000 10.2646
Cl 0.0000 2.5133 3.4215
Cl 2.1766 1.2567 17.1076
```

No. 10
Nd2TeCl: optimized geometry, PBE.

Properties
As for the symmetry: No. 160. The value obtained for the formation energy without anion corrections is -1.290 eV per atom.

extended XYZ file:
```
12
Lattice="4.0234 0.0000 0.0000 -2.0117 3.4844 0.0000 0.0000 0.0000 24.5392" Properties=species:S:1:pos:R:3 pbc="T T T"
Nd 0.0000 0.0000 0.0000
Nd 0.0000 0.0000 4.0082
Nd 0.0000 2.3229 16.3595
Nd 0.0000 2.3229 20.3676
Nd 2.0117 1.1615 8.1797
Nd 2.0117 1.1615 12.1879
Te 0.0000 0.0000 14.2845
Te 0.0000 2.3229 6.1048
Te 2.0117 1.1615 22.4642
Cl 0.0000 0.0000 18.3454
Cl 0.0000 2.3229 10.1657
Cl 2.0117 1.1615 1.9860
```

no.,D(E_F) (states/eV/cell)
1,3.451
2,9.039
3,6.861
4,2.239
5,9.176
6,0.030
7,5.008
8,0.000
9,9.270
10,13.155